Below is a relaxed La3Dy5Y crystal, with properties calculated at the GGA-PBE level.

Geometry as POSCAR:
```
La3Dy5Y
1.0
7.157 0.000 0.000
0.000 9.880 0.000
0.000 -4.940 8.556
La Dy Y
6 10 2
direct
0.750 0.359 0.359 La
0.750 0.000 0.641 La
0.750 0.641 0.000 La
0.250 0.641 0.641 La
0.250 0.000 0.359 La
0.250 0.359 0.000 La
0.000 0.667 0.333 Dy
0.500 0.333 0.667 Dy
0.000 0.333 0.667 Dy
0.500 0.667 0.333 Dy
0.750 0.692 0.692 Dy
0.750 0.000 0.308 Dy
0.750 0.308 0.000 Dy
0.250 0.308 0.308 Dy
0.250 0.000 0.692 Dy
0.250 0.692 0.000 Dy
0.000 0.000 0.000 Y
0.500 0.000 0.000 Y
```

Electronic total energy   -4.86 eV/atom
Size of the total moment   0.00 μB/f.u.
Volume   33.6 Å³ per atom
Formation energy from the elements   0.0612 eV per atom